Here is CaMgCoP after structural relaxation from Alexandria. Energies are from PBE.

The calculation puts the energy of formation from the pure elements at -0.504 eV per atom.

a b c (Å): 3.8889 3.8889 10.9161
angles (deg): 90.00 90.00 90.00
Positions (direct):
1 Ca 0.7500 0.7500 0.2175
2 Ca 0.2500 0.2500 0.7825
3 Mg 0.2500 0.7500 0.5000
4 Mg 0.7500 0.2500 0.5000
5 Co 0.7500 0.2500 0.0000
6 Co 0.2500 0.7500 0.0000
7 P 0.7500 0.7500 0.8954
8 P 0.2500 0.2500 0.1046



Here is CaMgCoRe2 after structural relaxation from Alexandria. Energies are from PBE.

The calculation puts the energy of formation from the pure elements at 0.873 eV per atom.

a b c (Å): 4.5287 4.5287 4.7445
angles (deg): 90.00 90.00 90.00
Positions (direct):
1 Re 0.0000 0.5000 0.0000
2 Re 0.5000 0.0000 0.0000
3 Ca 0.5000 0.5000 0.5000
4 Co 0.0000 0.0000 0.0000
5 Mg 0.0000 0.0000 0.5000



Here is CaMg2ScCo after structural relaxation from Alexandria. Energies are from PBE.

The calculation puts the energy of formation from the pure elements at -0.026 eV per atom.

a b c (Å): 5.0671 5.0671 4.6273
angles (deg): 90.00 90.00 90.00
Positions (direct):
1 Sc 0.0000 0.0000 0.5000
2 Ca 0.5000 0.5000 0.5000
3 Co 0.0000 0.0000 0.0000
4 Mg 0.0000 0.5000 0.0000
5 Mg 0.5000 0.0000 0.0000



Here is CaMgSc2Co after structural relaxation from Alexandria. Energies are from PBE.

The calculation puts the energy of formation from the pure elements at -0.066 eV per atom.

a b c (Å): 4.8446 4.8446 5.1501
angles (deg): 90.00 90.00 90.00
Positions (direct):
1 Sc 0.0000 0.5000 0.0000
2 Sc 0.5000 0.0000 0.0000
3 Ca 0.5000 0.5000 0.5000
4 Co 0.0000 0.0000 0.0000
5 Mg 0.0000 0.0000 0.5000



Here is CaMg2CoSi after structural relaxation from Alexandria. Energies are from PBE.

As for the formation energy (no corrections): -0.7 eV/f.u.

a b c (Å): 4.8346 4.8346 4.4017
angles (deg): 90.00 90.00 90.00
Positions (direct):
1 Mg 0.0000 0.5000 0.0000
2 Mg 0.5000 0.0000 0.0000
3 Ca 0.5000 0.5000 0.5000
4 Co 0.0000 0.0000 0.0000
5 Si 0.0000 0.0000 0.5000



Here is CaMgTa2Co after structural relaxation from Alexandria. Energies are from PBE.

The calculation puts the energy of formation from the pure elements at 0.574 eV per atom.

a b c (Å): 4.6615 4.6615 4.9880
angles (deg): 90.00 90.00 90.00
Positions (direct):
1 Ca 0.5000 0.5000 0.5000
2 Co 0.0000 0.0000 0.0000
3 Mg 0.0000 0.0000 0.5000
4 Ta 0.0000 0.5000 0.0000
5 Ta 0.5000 0.0000 0.0000



Here is CaMg2CoW after structural relaxation from Alexandria. Energies are from PBE.

The calculation puts the energy of formation from the pure elements at 0.825 eV per atom.

a b c (Å): 5.2478 4.4647 5.2478
angles (deg): 90.00 90.00 90.00
Positions (direct):
1 Ca 0.5000 0.5000 0.5000
2 Co 0.0000 0.5000 0.0000
3 Mg 0.0000 0.0000 0.5000
4 Mg 0.5000 0.0000 0.0000
5 W 0.0000 0.0000 0.0000



Here is Ca2YMgCo after structural relaxation from Alexandria. Energies are from PBE.

The calculation puts the energy of formation from the pure elements at 1.058 eV per atom.

a b c (Å): 5.6356 5.6930 5.6356
angles (deg): 90.00 90.00 90.00
Positions (direct):
1 Y 0.0000 0.5000 0.0000
2 Ca 0.0000 0.0000 0.5000
3 Ca 0.5000 0.0000 0.0000
4 Co 0.5000 0.5000 0.5000
5 Mg 0.0000 0.0000 0.0000



Calculated density in order - 3.10, 8.46, 2.69, 2.93, 2.84, 7.43, 4.48, 2.32 Mg/m³